[1]
## TlTePb2 (PBE)

Data for a geometry-optimized TlTePb2 structure.

Calculated values
The space group is Cm. The value obtained for the formation energy from raw total energies is -0.2 eV/f.u. For the density of states at the Fermi level, the calculation gives 1.6 states/eV/cell. For the total energy, the calculation gives -3.273 eV/atom.

Unit cell a=4.0929 b=4.0929 c=9.5523 alpha=77.79 beta=77.79 gamma=60.42
Sites, in units of the cell vectors:
Te1 0.6668 0.6668 0.9992
Tl1 0.4999 0.4999 0.5001
Pb1 0.0775 0.0775 0.7691
Pb2 0.2559 0.2559 0.2315

[2]
## AcLaNd3Tm (PBE)

Data for a geometry-optimized AcLaNd3Tm structure.

Calculated values
The space group is C2/m. For the density of states at the Fermi level, the calculation gives 17.2 states/eV/cell. For the total energy, the calculation gives -4.462 eV/atom. The calculation puts the energy of formation at 0.173 eV/atom.

Unit cell a=5.9280 b=10.8490 c=7.1327 alpha=91.40 beta=90.00 gamma=105.86
Sites, in units of the cell vectors:
Ac1 0.6485 0.2970 0.0299
La1 0.9453 0.8906 0.7212
Nd1 0.5163 0.0325 0.7429
Nd2 0.7819 0.5638 0.7278
La2 0.0547 0.1094 0.2788
Nd3 0.2181 0.4362 0.2722
Nd4 0.8370 0.6740 0.2598
Ac2 0.3515 0.7030 0.9701
Tm1 0.3559 0.7117 0.5114
Tm2 0.6441 0.2883 0.4886
Nd5 0.1630 0.3260 0.7402
Nd6 0.4837 0.9675 0.2571

[3]
## BeCuSe (PBE)

Data for a geometry-optimized BeCuSe structure.

Calculated values
The space group is I4mm. The value obtained for the formation energy from raw total energies is 1.1 eV/f.u. For the density of states at the Fermi level, the calculation gives 1.1 states/eV/cell. For the total energy, the calculation gives -3.405 eV/atom.

Unit cell a=6.3676 b=6.3676 c=6.3676 alpha=153.97 beta=153.97 gamma=37.15
Sites, in units of the cell vectors:
Se1 0.6151 0.6151 0.0000
Be1 0.9928 0.9928 0.0000
Cu1 0.3921 0.3921 0.0000